Entry 1:
CrSi2Ni, relaxed, DFT PBE-GGA; DOS(E_F) = 4.861 states/eV/f.u.; uncorrected formation energy = -167 meV/atom; E_tot = -26.9 eV/f.u.
1.0
-1.805 1.815 3.546
1.805 -1.815 3.546
1.805 1.815 -3.546
Cr Si Ni
1 2 1
direct
0.000 0.000 0.000
0.250 0.750 0.500
0.750 0.250 0.500
0.500 0.500 0.000

=====

Entry 2:
CrSiNi, relaxed, DFT PBE-GGA; DOS(E_F) = 3.753 states/eV/f.u.; uncorrected formation energy = 213 meV/atom; E_tot = -20.2 eV/f.u.
1.0
0.000 2.763 2.763
2.763 0.000 2.763
2.763 2.763 0.000
Cr Si Ni
1 1 1
direct
0.000 0.000 0.000
0.250 0.250 0.250
0.750 0.750 0.750

=====

Entry 3:
CrSiNi, relaxed, DFT PBE-GGA; DOS(E_F) = 1.736 states/eV/f.u.; uncorrected formation energy = -92 meV/atom; E_tot = -21.1 eV/f.u.
1.0
2.593 0.000 0.000
-1.297 2.246 0.000
0.000 0.000 5.936
Cr Si Ni
1 1 1
direct
0.000 0.000 0.000
0.667 0.333 0.661
0.333 0.667 0.345

=====

Entry 4:
CrSi2Ni, relaxed, DFT PBE-GGA; DOS(E_F) = 3.733 states/eV/f.u.; uncorrected formation energy = -255 meV/atom; E_tot = -27.3 eV/f.u.
1.0
3.124 0.000 0.000
0.000 3.124 0.000
0.000 0.000 4.938
Cr Si Ni
1 2 1
direct
0.000 0.000 0.000
0.000 0.000 0.509
0.500 0.500 0.804
0.500 0.500 0.316

=====

Entry 5:
CrSiNi, relaxed, DFT PBE-GGA; DOS(E_F) = 1.848 states/eV/f.u.; uncorrected formation energy = -377 meV/atom; E_tot = -22.0 eV/f.u.
1.0
5.751 0.000 0.000
0.000 3.622 0.000
0.000 0.000 6.898
Cr Si Ni
4 4 4
direct
0.028 0.250 0.181
0.472 0.750 0.681
0.528 0.250 0.319
0.972 0.750 0.819
0.245 0.750 0.375
0.255 0.250 0.875
0.745 0.750 0.125
0.755 0.250 0.625
0.147 0.250 0.559
0.353 0.750 0.059
0.647 0.250 0.941
0.853 0.750 0.441

=====

Entry 6:
CrSi2Ni, relaxed, DFT PBE-GGA; DOS(E_F) = 2.446 states/eV/f.u.; uncorrected formation energy = -320 meV/atom; E_tot = -27.5 eV/f.u.
1.0
4.369 -1.356 0.000
4.369 1.356 0.000
-1.175 0.000 3.936
Cr Si Ni
1 2 1
direct
0.000 0.000 0.000
0.491 0.491 0.492
0.742 0.742 0.107
0.235 0.235 0.606

=====

Entry 7:
CrSiNi, relaxed, DFT PBE-GGA; DOS(E_F) = 2.186 states/eV/f.u.; uncorrected formation energy = -290 meV/atom; E_tot = -21.7 eV/f.u.
1.0
3.941 0.000 0.000
-1.970 3.413 0.000
0.000 0.000 2.636
Cr Si Ni
1 1 1
direct
0.000 0.000 0.000
0.333 0.667 0.500
0.667 0.333 0.500

=====

Entry 8:
CrSi2Ni, relaxed, DFT PBE-GGA; DOS(E_F) = 2.967 states/eV/f.u.; uncorrected formation energy = -288 meV/atom; E_tot = -27.4 eV/f.u.
1.0
3.896 0.000 0.000
0.000 3.896 0.000
0.000 0.000 3.007
Cr Si Ni
1 2 1
direct
0.000 0.000 0.000
0.000 0.500 0.500
0.500 0.000 0.500
0.500 0.500 0.000

=====

Q: Which formula does entry 6 have?
A: CrSi2Ni

=====

Q: Among the records above, which one has the lowest E_tot?
A: number 6

=====

Repeat the seventh record exactly.
CrSiNi, relaxed, DFT PBE-GGA; DOS(E_F) = 2.186 states/eV/f.u.; uncorrected formation energy = -290 meV/atom; E_tot = -21.7 eV/f.u.
1.0
3.941 0.000 0.000
-1.970 3.413 0.000
0.000 0.000 2.636
Cr Si Ni
1 1 1
direct
0.000 0.000 0.000
0.333 0.667 0.500
0.667 0.333 0.500

=====

Q: Among the records above, which one has the highest DOS(E_F)?
A: number 1